No. 1
The following is a DFT calculation (GGA-PBE) of crystalline Cs2Ga2Sn2H at its relaxed geometry.

Structure (CIF):
```
data_Cs2Ga2Sn2H
_cell_length_a 4.6545
_cell_length_b 7.1664
_cell_length_c 7.6268
_cell_angle_alpha 100.79
_cell_angle_beta 104.80
_cell_angle_gamma 105.54
_symmetry_space_group_name_H-M 'P -1'
_symmetry_Int_Tables_number 2
loop_
_symmetry_equiv_pos_as_xyz
'x,y,z'
'-x,-y,-z'
loop_
_atom_site_label
_atom_site_type_symbol
_atom_site_fract_x
_atom_site_fract_y
_atom_site_fract_z
Cs1 Cs 0.2446 0.3024 0.1766
Ga1 Ga 0.0364 0.7500 0.4237
Sn1 Sn 0.4528 0.1100 0.6967
H1 H 0.0000 0.5000 0.5000
```

## Properties
electronic total energy	-2.88	eV/atom
ρ	4.7	g/cm3



No. 2
The following is a DFT calculation (GGA-PBE) of crystalline KTlIr2 at its relaxed geometry.

Structure (CIF):
```
data_KTlIr2
_cell_length_a 3.0109
_cell_length_b 3.0109
_cell_length_c 9.4332
_cell_angle_alpha 90.00
_cell_angle_beta 90.00
_cell_angle_gamma 90.00
_symmetry_space_group_name_H-M 'P 4 m m'
_symmetry_Int_Tables_number 99
loop_
_symmetry_equiv_pos_as_xyz
'x,y,z'
'-y,x,z'
'-x,-y,z'
'y,-x,z'
'-x,y,z'
'y,x,z'
'x,-y,z'
'-y,-x,z'
loop_
_atom_site_label
_atom_site_type_symbol
_atom_site_fract_x
_atom_site_fract_y
_atom_site_fract_z
K1 K 0.0000 0.0000 0.0000
Tl1 Tl 0.5000 0.5000 0.3194
Ir1 Ir 0.0000 0.0000 0.5596
Ir2 Ir 0.5000 0.5000 0.7193
```

## Properties
electronic total energy	-4.87	eV/atom
ρ	12.2	g/cm3
energy relative to the lowest polymorph listed for this composition	115	meV per atom



No. 3
The following is a DFT calculation (GGA-PBE) of crystalline CeAlTc at its relaxed geometry.

Structure (CIF):
```
data_CeAlTc
_cell_length_a 3.2514
_cell_length_b 3.2514
_cell_length_c 11.1752
_cell_angle_alpha 90.00
_cell_angle_beta 90.00
_cell_angle_gamma 90.00
_symmetry_space_group_name_H-M 'I 4 m m'
_symmetry_Int_Tables_number 107
_symmetry_space_group_name_Hall 'I 4 -2'
loop_
_atom_site_label
_atom_site_type_symbol
_atom_site_fract_x
_atom_site_fract_y
_atom_site_fract_z
Ce1 Ce 0.0000 0.0000 0.0000
Al1 Al 0.0000 0.0000 0.2765
Tc1 Tc 0.0000 0.0000 0.6643
```

## Properties
electronic total energy	-6.89	eV/atom
ρ	7.5	g/cm3
energy relative to the lowest polymorph listed for this composition	172	meV per atom



No. 4
The following is a DFT calculation (GGA-PBE) of crystalline Ba2NaYAu at its relaxed geometry.

Structure (CIF):
```
data_Ba2NaYAu
_cell_length_a 6.5317
_cell_length_b 6.5317
_cell_length_c 5.6183
_cell_angle_alpha 90.00
_cell_angle_beta 90.00
_cell_angle_gamma 90.00
_symmetry_space_group_name_H-M 'P 4/m m m'
_symmetry_Int_Tables_number 123
_symmetry_space_group_name_Hall '-P 4 2'
loop_
_atom_site_label
_atom_site_type_symbol
_atom_site_fract_x
_atom_site_fract_y
_atom_site_fract_z
Ba1 Ba 0.0000 0.5000 0.0000
Na1 Na 0.0000 0.0000 0.5000
Y1 Y 0.5000 0.5000 0.5000
Au1 Au 0.5000 0.5000 0.0000
```

## Properties
electronic total energy	-3.13	eV/atom
ρ	4.0	g/cm3



No. 5
The following is a DFT calculation (GGA-PBE) of crystalline Ba3CrCo at its relaxed geometry.

Structure (CIF):
```
data_Ba3CrCo
_cell_length_a 5.8918
_cell_length_b 5.8918
_cell_length_c 5.8918
_cell_angle_alpha 90.00
_cell_angle_beta 90.00
_cell_angle_gamma 90.00
_symmetry_space_group_name_H-M 'P m -3 m'
_symmetry_Int_Tables_number 221
_symmetry_space_group_name_Hall '-P 4 2 3'
loop_
_atom_site_label
_atom_site_type_symbol
_atom_site_fract_x
_atom_site_fract_y
_atom_site_fract_z
Ba1 Ba 0.0000 0.0000 0.5000
Cr1 Cr 0.5000 0.5000 0.5000
Co1 Co 0.0000 0.0000 0.0000
```

## Properties
electronic total energy	-3.87	eV/atom
ρ	4.2	g/cm3
energy relative to the lowest polymorph listed for this composition	0	meV per atom



No. 6
The following is a DFT calculation (GGA-PBE) of crystalline Tb2Tm3Ru3 at its relaxed geometry.

Structure (CIF):
```
data_Tb2Tm3Ru3
_cell_length_a 3.4361
_cell_length_b 5.0329
_cell_length_c 20.5671
_cell_angle_alpha 90.00
_cell_angle_beta 90.00
_cell_angle_gamma 90.00
_symmetry_space_group_name_H-M 'I m m m'
_symmetry_Int_Tables_number 71
_symmetry_space_group_name_Hall '-I 2 2'
loop_
_atom_site_label
_atom_site_type_symbol
_atom_site_fract_x
_atom_site_fract_y
_atom_site_fract_z
Tb1 Tb 0.0000 0.0000 0.2179
Tm1 Tm 0.0000 0.0000 0.0000
Tm2 Tm 0.0000 0.5000 0.1090
Ru1 Ru 0.0000 0.0000 0.5000
Ru2 Ru 0.0000 0.5000 0.3866
```

## Properties
electronic total energy	-6.65	eV/atom
ρ	10.5	g/cm3



No. 7
The following is a DFT calculation (GGA-PBE) of crystalline CaAgCl at its relaxed geometry.

Structure (CIF):
```
data_CaAgCl
_cell_length_a 4.9345
_cell_length_b 4.9441
_cell_length_c 13.5177
_cell_angle_alpha 90.00
_cell_angle_beta 90.00
_cell_angle_gamma 90.00
_symmetry_space_group_name_H-M 'F m m 2'
_symmetry_Int_Tables_number 42
_symmetry_space_group_name_Hall 'F 2 -2'
loop_
_atom_site_label
_atom_site_type_symbol
_atom_site_fract_x
_atom_site_fract_y
_atom_site_fract_z
Ca1 Ca 0.0000 0.0000 0.0000
Ag1 Ag 0.0000 0.0000 0.3518
Cl1 Cl 0.0000 0.0000 0.6076
```

## Properties
electronic total energy	-3.22	eV/atom
ρ	3.7	g/cm3
energy relative to the lowest polymorph listed for this composition	36	meV per atom
E_form (uncorrected)	-0.9822	eV/atom



No. 8
The following is a DFT calculation (GGA-PBE) of crystalline BaTc2Pb at its relaxed geometry.

Structure (CIF):
```
data_BaTc2Pb
_cell_length_a 4.8320
_cell_length_b 4.8320
_cell_length_c 3.8350
_cell_angle_alpha 90.00
_cell_angle_beta 90.00
_cell_angle_gamma 90.00
_symmetry_space_group_name_H-M 'P 4/m m m'
_symmetry_Int_Tables_number 123
_symmetry_space_group_name_Hall '-P 4 2'
loop_
_atom_site_label
_atom_site_type_symbol
_atom_site_fract_x
_atom_site_fract_y
_atom_site_fract_z
Ba1 Ba 0.0000 0.0000 0.0000
Tc1 Tc 0.0000 0.5000 0.5000
Pb1 Pb 0.5000 0.5000 0.0000
```

## Properties
electronic total energy	-5.50	eV/atom
ρ	10.0	g/cm3



No. 9
The following is a DFT calculation (GGA-PBE) of crystalline Y4TlPt at its relaxed geometry.

Structure (CIF):
```
data_Y4TlPt
_cell_length_a 7.4298
_cell_length_b 7.1483
_cell_length_c 7.0319
_cell_angle_alpha 90.00
_cell_angle_beta 92.28
_cell_angle_gamma 90.00
_symmetry_space_group_name_H-M 'P 1 21/c 1'
_symmetry_Int_Tables_number 14
loop_
_symmetry_equiv_pos_as_xyz
'x,y,z'
'-x,-y,-z'
'-x,y+1/2,-z+1/2'
'x,-y+1/2,z+1/2'
loop_
_atom_site_label
_atom_site_type_symbol
_atom_site_fract_x
_atom_site_fract_y
_atom_site_fract_z
Y1 Y 0.1438 0.1618 0.1740
Y2 Y 0.3226 0.6441 0.1262
Tl1 Tl 0.5000 0.0000 0.0000
Pt1 Pt 0.0000 0.0000 0.5000
```

## Properties
electronic total energy	-6.15	eV/atom
ρ	6.7	g/cm3
energy relative to the lowest polymorph listed for this composition	197	meV per atom



No. 10
The following is a DFT calculation (GGA-PBE) of crystalline YTc2P at its relaxed geometry.

Structure (CIF):
```
data_YTc2P
_cell_length_a 5.6651
_cell_length_b 9.1236
_cell_length_c 3.0022
_cell_angle_alpha 90.00
_cell_angle_beta 120.62
_cell_angle_gamma 90.00
_symmetry_space_group_name_H-M 'C 1 2/m 1'
_symmetry_Int_Tables_number 12
loop_
_symmetry_equiv_pos_as_xyz
'x,y,z'
'-x,-y,-z'
'-x,y,-z'
'x,-y,z'
'x+1/2,y+1/2,z'
'-x+1/2,-y+1/2,-z'
'-x+1/2,y+1/2,-z'
'x+1/2,-y+1/2,z'
loop_
_atom_site_label
_atom_site_type_symbol
_atom_site_fract_x
_atom_site_fract_y
_atom_site_fract_z
Y1 Y 0.0000 0.0000 0.0000
Tc1 Tc 0.2500 0.2500 0.5000
P1 P 0.0000 0.5000 0.0000
```

## Properties
electronic total energy	-8.00	eV/atom
ρ	7.9	g/cm3



No. 11
The following is a DFT calculation (GGA-PBE) of crystalline Ni3CS at its relaxed geometry.

Structure (CIF):
```
data_Ni3CS
_cell_length_a 4.0816
_cell_length_b 4.0816
_cell_length_c 4.0816
_cell_angle_alpha 90.00
_cell_angle_beta 90.00
_cell_angle_gamma 90.00
_symmetry_space_group_name_H-M 'P m -3 m'
_symmetry_Int_Tables_number 221
_symmetry_space_group_name_Hall '-P 4 2 3'
loop_
_atom_site_label
_atom_site_type_symbol
_atom_site_fract_x
_atom_site_fract_y
_atom_site_fract_z
Ni1 Ni 0.0000 0.0000 0.5000
C1 C 0.5000 0.5000 0.5000
S1 S 0.0000 0.0000 0.0000
```

## Properties
electronic total energy	-4.89	eV/atom
ρ	5.4	g/cm3
energy relative to the lowest polymorph listed for this composition	989	meV per atom
E_form (uncorrected)	1.2455	eV/atom



No. 12
The following is a DFT calculation (GGA-PBE) of crystalline Ta3H2S4 at its relaxed geometry.

Structure (CIF):
```
data_Ta3H2S4
_cell_length_a 3.2321
_cell_length_b 3.2321
_cell_length_c 16.6176
_cell_angle_alpha 90.00
_cell_angle_beta 90.00
_cell_angle_gamma 120.00
_symmetry_space_group_name_H-M 'P 3 m 1'
_symmetry_Int_Tables_number 156
loop_
_symmetry_equiv_pos_as_xyz
'x,y,z'
'-y,x-y,z'
'-x+y,-x,z'
'-y,-x,z'
'-x+y,y,z'
'x,x-y,z'
loop_
_atom_site_label
_atom_site_type_symbol
_atom_site_fract_x
_atom_site_fract_y
_atom_site_fract_z
Ta1 Ta 0.0000 0.0000 0.0000
Ta2 Ta 0.0000 0.0000 0.3516
Ta3 Ta 0.6667 0.3333 0.7515
H1 H 0.6667 0.3333 0.0631
H2 H 0.6667 0.3333 0.9547
S1 S 0.0000 0.0000 0.6556
S2 S 0.0000 0.0000 0.8511
S3 S 0.6667 0.3333 0.2551
S4 S 0.6667 0.3333 0.4474
```

## Properties
electronic total energy	-7.16	eV/atom
ρ	7.4	g/cm3



No. 13
The following is a DFT calculation (GGA-PBE) of crystalline Mg2H6Pb at its relaxed geometry.

Structure (CIF):
```
data_Mg2H6Pb
_cell_length_a 7.3823
_cell_length_b 7.3823
_cell_length_c 7.3823
_cell_angle_alpha 90.00
_cell_angle_beta 90.00
_cell_angle_gamma 90.00
_symmetry_space_group_name_H-M 'F m -3 m'
_symmetry_Int_Tables_number 225
_symmetry_space_group_name_Hall '-F 4 2 3'
loop_
_atom_site_label
_atom_site_type_symbol
_atom_site_fract_x
_atom_site_fract_y
_atom_site_fract_z
Mg1 Mg 0.2500 0.2500 0.2500
H1 H 0.0000 0.0000 0.2150
Pb1 Pb 0.0000 0.0000 0.5000
```

## Properties
electronic total energy	-2.38	eV/atom
ρ	4.3	g/cm3



No. 14
The following is a DFT calculation (GGA-PBE) of crystalline ScAl8Co4 at its relaxed geometry.

Structure (CIF):
```
data_ScAl8Co4
_cell_length_a 8.4372
_cell_length_b 8.4372
_cell_length_c 5.0817
_cell_angle_alpha 90.00
_cell_angle_beta 90.00
_cell_angle_gamma 90.00
_symmetry_space_group_name_H-M 'I 4/m m m'
_symmetry_Int_Tables_number 139
_symmetry_space_group_name_Hall '-I 4 2'
loop_
_atom_site_label
_atom_site_type_symbol
_atom_site_fract_x
_atom_site_fract_y
_atom_site_fract_z
Sc1 Sc 0.0000 0.0000 0.0000
Al1 Al 0.0000 0.2211 0.5000
Al2 Al 0.0000 0.3348 0.0000
Co1 Co 0.2500 0.2500 0.2500
```

## Properties
electronic total energy	-5.49	eV/atom
ρ	4.6	g/cm3



No. 15
The following is a DFT calculation (GGA-PBE) of crystalline SrRhBr2 at its relaxed geometry.

Structure (CIF):
```
data_SrRhBr2
_cell_length_a 3.9633
_cell_length_b 4.3923
_cell_length_c 13.6245
_cell_angle_alpha 90.00
_cell_angle_beta 90.00
_cell_angle_gamma 90.00
_symmetry_space_group_name_H-M 'A m m 2'
_symmetry_Int_Tables_number 38
loop_
_symmetry_equiv_pos_as_xyz
'x,y,z'
'-x,-y,z'
'-x,y,z'
'x,-y,z'
'x,y+1/2,z+1/2'
'-x,-y+1/2,z+1/2'
'-x,y+1/2,z+1/2'
'x,-y+1/2,z+1/2'
loop_
_atom_site_label
_atom_site_type_symbol
_atom_site_fract_x
_atom_site_fract_y
_atom_site_fract_z
Sr1 Sr 0.0000 0.0000 0.0000
Rh1 Rh 0.5000 0.0000 0.5760
Br1 Br 0.0000 0.0000 0.6870
Br2 Br 0.5000 0.0000 0.3910
```

## Properties
electronic total energy	-3.96	eV/atom
ρ	4.9	g/cm3
energy relative to the lowest polymorph listed for this composition	0	meV per atom
E_form (uncorrected)	-0.8691	eV/atom



No. 16
The following is a DFT calculation (GGA-PBE) of crystalline BeSbAs2 at its relaxed geometry.

Structure (CIF):
```
data_BeSbAs2
_cell_length_a 3.6842
_cell_length_b 3.6842
_cell_length_c 6.1778
_cell_angle_alpha 90.00
_cell_angle_beta 90.00
_cell_angle_gamma 90.00
_symmetry_space_group_name_H-M 'P 4 m m'
_symmetry_Int_Tables_number 99
loop_
_symmetry_equiv_pos_as_xyz
'x,y,z'
'-y,x,z'
'-x,-y,z'
'y,-x,z'
'-x,y,z'
'y,x,z'
'x,-y,z'
'-y,-x,z'
loop_
_atom_site_label
_atom_site_type_symbol
_atom_site_fract_x
_atom_site_fract_y
_atom_site_fract_z
Be1 Be 0.0000 0.0000 0.0000
Sb1 Sb 0.5000 0.5000 0.1028
As1 As 0.0000 0.0000 0.6320
As2 As 0.5000 0.5000 0.5382
```

## Properties
electronic total energy	-4.07	eV/atom
ρ	5.6	g/cm3
energy relative to the lowest polymorph listed for this composition	185	meV per atom
E_form (uncorrected)	0.2135	eV/atom